The following is a PBE calculation of a geometry-optimized Pa2AgC structure, from Alexandria.

Values from the calculation:
* final energy: -0.2843 Ha/atom
* mass density: 11.54 g cm⁻³
* D(E_F): 1.34 states/eV/atom

Lattice parameters (Å, degrees): 3.2309 3.2309 9.4494 80.16 80.16 60.00
Atoms (fractional coordinates):
Pa: 0.1119 0.1119 0.6642
Pa: 0.8881 0.8881 0.3358
Ag: 0.0000 0.0000 0.0000
C: 0.5000 0.5000 0.5000